Record 1
AgHgSe2: relaxed, PBE.

Unit cell a=3.0788 b=3.0788 c=34.1489 alpha=90.00 beta=90.00 gamma=120.00
Space group R-3m (No. 166, hexagonal axes)
Inequivalent atoms, fractional coordinates:
Ag: 0.0000 0.0000 0.0000 (multiplicity 3)
Hg: 0.0000 0.0000 0.5000 (multiplicity 3)
Se: 0.0000 0.0000 0.2660 (multiplicity 6)

Output
**Uncorrected energy**: -2.280 eV/atom
**ΔE_f (raw)**: 1.00 eV per formula unit
**Magnetic moment**: 0.0 μB per cell


Record 2
MgTaCr: relaxed, PBE.

Unit cell a=3.232 b=4.640 c=13.528 alpha=90.00 beta=90.00 gamma=90.00
Space group Fmm2 (No. 42)
Inequivalent atoms, fractional coordinates:
Mg: 0.000 0.000 0.000 (multiplicity 4)
Ta: 0.000 0.000 0.309 (multiplicity 4)
Cr: 0.000 0.000 0.668 (multiplicity 4)

Output
**Uncorrected energy**: -7.336 eV/atom
**Calculated formation energy**: 0.354 eV per atom
**Magnetic moment**: 0.0 μB per cell


Record 3
Tb3NbTl3S8: relaxed, PBE.

Unit cell a=7.8399 b=7.8399 c=22.8745 alpha=90.00 beta=90.00 gamma=120.00
Space group R-3m (No. 166, hexagonal axes)
Inequivalent atoms, fractional coordinates:
Tb: 0.0000 0.5000 0.0000 (multiplicity 9)
Nb: 0.0000 0.0000 0.0000 (multiplicity 3)
Tl: 0.0000 0.5000 0.5000 (multiplicity 9)
S: 0.0000 0.0000 0.2665 (multiplicity 6)
S: 0.0247 0.5124 0.7303 (multiplicity 18)

Output
**Uncorrected energy**: -5.612 eV/atom
**ΔE_f (raw)**: -20.10 eV per formula unit
**Magnetic moment**: 3.0 μB per cell


Record 4
Ca3BRu: relaxed, PBE.

Unit cell a=5.322 b=5.322 c=5.322 alpha=90.00 beta=90.00 gamma=90.00
Space group Pm-3m (No. 221)
Inequivalent atoms, fractional coordinates:
Ca: 0.000 0.000 0.500 (multiplicity 3)
B: 0.500 0.500 0.500 (multiplicity 1)
Ru: 0.000 0.000 0.000 (multiplicity 1)

Output
**Uncorrected energy**: -3.401 eV/atom
**Calculated formation energy**: 0.991 eV per atom
**Magnetic moment**: 0.0 μB per cell


Record 5
Cu3BPb: relaxed, PBE.

Unit cell a=4.934 b=4.934 c=4.934 alpha=90.00 beta=90.00 gamma=90.00
Space group Pm-3m (No. 221)
Inequivalent atoms, fractional coordinates:
Cu: 0.000 0.000 0.500 (multiplicity 3)
B: 0.500 0.500 0.500 (multiplicity 1)
Pb: 0.000 0.000 0.000 (multiplicity 1)

Output
**Uncorrected energy**: -2.770 eV/atom
**Calculated formation energy**: 1.764 eV per atom
**Magnetic moment**: 0.0 μB per cell


Record 6
SrLi2MgH: relaxed, PBE.

Unit cell a=4.879 b=4.879 c=4.870 alpha=90.00 beta=90.00 gamma=90.00
Space group P4/mmm (No. 123)
Inequivalent atoms, fractional coordinates:
Sr: 0.000 0.000 0.000 (multiplicity 1)
Li: 0.000 0.500 0.500 (multiplicity 2)
Mg: 0.500 0.500 0.000 (multiplicity 1)
H: 0.000 0.000 0.500 (multiplicity 1)

Output
**Uncorrected energy**: -2.136 eV/atom
**Magnetic moment**: 0.0 μB per cell


Record 7
LiSiAs2Pb: relaxed, PBE.

Unit cell a=4.953 b=4.953 c=4.671 alpha=90.00 beta=90.00 gamma=90.00
Space group P4/mmm (No. 123)
Inequivalent atoms, fractional coordinates:
Li: 0.000 0.000 0.000 (multiplicity 1)
Si: 0.000 0.000 0.500 (multiplicity 1)
As: 0.000 0.500 0.500 (multiplicity 2)
Pb: 0.500 0.500 0.000 (multiplicity 1)

Output
**Uncorrected energy**: -3.819 eV/atom
**ΔE_f (raw)**: 1.25 eV per formula unit
**Magnetic moment**: 0.0 μB per cell


Record 8
BeInSb2: relaxed, PBE.

Unit cell a=3.708 b=3.823 c=14.037 alpha=90.00 beta=90.00 gamma=90.00
Space group Imm2 (No. 44)
Inequivalent atoms, fractional coordinates:
Be: 0.000 0.000 0.000 (multiplicity 2)
In: 0.000 0.500 0.733 (multiplicity 2)
Sb: 0.000 0.000 0.549 (multiplicity 2)
Sb: 0.000 0.500 0.373 (multiplicity 2)

Output
**Uncorrected energy**: -3.386 eV/atom
**ΔE_f (raw)**: 1.17 eV per formula unit
**Magnetic moment**: 0.0 μB per cell


Record 9
CaTaCu2: relaxed, PBE.

Unit cell a=3.0343 b=3.0343 c=27.1265 alpha=90.00 beta=90.00 gamma=120.00
Space group R3m (No. 160, hexagonal axes)
Inequivalent atoms, fractional coordinates:
Ca: 0.0000 0.0000 0.0000 (multiplicity 3)
Ta: 0.0000 0.0000 0.7684 (multiplicity 3)
Cu: 0.0000 0.0000 0.2450 (multiplicity 3)
Cu: 0.0000 0.0000 0.5120 (multiplicity 3)

Output
**Uncorrected energy**: -5.011 eV/atom
**Calculated formation energy**: 0.501 eV per atom
**Magnetic moment**: 0.7 μB per cell


Record 10
TiGeOs: relaxed, PBE.

Unit cell a=4.2673 b=4.2673 c=2.9343 alpha=90.00 beta=90.00 gamma=120.00
Space group P3m1 (No. 156)
Inequivalent atoms, fractional coordinates:
Ti: 0.0000 0.0000 0.0000 (multiplicity 1)
Ge: 0.3333 0.6667 0.5207 (multiplicity 1)
Os: 0.6667 0.3333 0.5410 (multiplicity 1)

Output
**Uncorrected energy**: -8.280 eV/atom
**Calculated formation energy**: -0.366 eV per atom
**Magnetic moment**: 0.0 μB per cell


Record 11
TbCeGaAg: relaxed, PBE.

Unit cell a=7.338 b=7.338 c=7.338 alpha=90.00 beta=90.00 gamma=90.00
Space group F-43m (No. 216)
Inequivalent atoms, fractional coordinates:
Tb: 0.000 0.000 0.000 (multiplicity 4)
Ce: 0.000 0.000 0.500 (multiplicity 4)
Ga: 0.250 0.250 0.250 (multiplicity 4)
Ag: 0.250 0.250 0.750 (multiplicity 4)

Output
**Uncorrected energy**: -4.444 eV/atom
**Calculated formation energy**: -0.333 eV per atom
**Magnetic moment**: 5.0 μB per cell


> magnetic moment of number 6 (SrLi2MgH)?

0.0 μB per cell


> Which value of uncorrected energy does entry 10 give?

-8.280 eV/atom


> The highest magnetic moment belongs to which entry?

TbCeGaAg